The following is a DFT calculation (PBE-GGA) of a geometry-optimized ErSc2Pd4 structure.

Computed properties:
**DFT total energy**: -6.063 eV per atom
**Calculated formation energy**: -0.634 eV/atom
**Magnetic moment**: 0.0 μB/cell

Unit cell a=6.8330 b=6.8330 c=6.0235 alpha=90.00 beta=90.00 gamma=90.00
With the nearest neighbours (Å) after each atom.
Space group I4/mmm (No. 139)
Asymmetric unit:
1 Er 0.0000 0.0000 0.0000 (multiplicity 2)  8 Pd 2.85
2 Sc 0.0000 0.5000 0.0000 (multiplicity 4)  8 Pd 2.85, 2 Sc 3.01
3 Pd 0.2500 0.2500 0.2500 (multiplicity 8)  2 Er 2.85, 4 Sc 2.85, 2 Pd 3.01


The following is a DFT calculation (PBE-GGA) of a geometry-optimized Pr4NdY2 structure.

Computed properties:
**Energy above the most stable polymorph in this dataset**: 386 meV per atom
**DFT total energy**: -4.814 eV per atom
**Calculated formation energy**: 0.445 eV/atom
**Magnetic moment**: 0.0 μB/cell

Unit cell a=6.2911 b=13.1776 c=6.1096 alpha=90.00 beta=90.00 gamma=90.00
With the nearest neighbours (Å) after each atom.
Space group Cmmm (No. 65)
Asymmetric unit:
1 Pr 0.0000 0.1361 0.0000 (multiplicity 4)  3 Y 3.16-3.29
2 Pr 0.0000 0.3045 0.5000 (multiplicity 4)  2 Y 3.24, 2 Pr 3.46
3 Nd 0.0000 0.0000 0.5000 (multiplicity 2)  4 Pr 3.54
4 Y 0.0000 0.3855 0.0000 (multiplicity 4)  1 Y 3.02, 5 Pr 3.16-3.29


The following is a DFT calculation (PBE-GGA) of a geometry-optimized BaMo2As structure.

Computed properties:
**DFT total energy**: -6.236 eV per atom
**Calculated formation energy**: 0.823 eV/atom
**Magnetic moment**: 0.0 μB/cell

Unit cell a=3.6205 b=5.1090 c=9.1121 alpha=90.00 beta=90.00 gamma=90.00
With the nearest neighbours (Å) after each atom.
Space group Cmmm (No. 65)
Asymmetric unit:
1 Ba 0.0000 0.0000 0.0000 (multiplicity 2)  4 Ba 3.13, 4 Mo 3.38
2 Mo 0.0000 0.5000 0.3129 (multiplicity 4)  2 As 2.49
3 As 0.0000 0.0000 0.5000 (multiplicity 2)  4 Mo 2.49